(1)
Density functional theory data (PBE) for a geometry-optimized TcNiP2Se structure.

Space group ... No. 8
D(E_F) ... 5.580 states/eV/cell
E ... -6.2519 eV/atom
Magnetization ... 0.00 μB per atom

a = 7.715 Å, b = 3.078 Å, c = 8.125 Å
α = 90.00°, β = 117.64°, γ = 90.00°
Fractional positions:
Tc (0.704, 0.500, 0.784)
P (0.672, 0.500, 0.485)
Ni (0.051, 0.500, 0.075)
Ni (0.051, 0.000, 0.575)
P (0.981, 0.000, 0.838)
P (0.672, 0.000, 0.985)
Se (0.391, 0.500, 0.192)
Se (0.391, 0.000, 0.692)
P (0.981, 0.500, 0.338)
Tc (0.704, 0.000, 0.284)

***

(2)
Density functional theory data (PBE) for a geometry-optimized Ti5Sn2C structure.

Space group ... No. 63
D(E_F) ... 13.093 states/eV/cell
E ... -7.0206 eV/atom
Magnetization ... 0.00 μB per atom

a = 3.925 Å, b = 7.882 Å, c = 10.875 Å
α = 90.00°, β = 90.00°, γ = 104.42°
Fractional positions:
C (0.776, 0.552, 0.750)
Ti (0.126, 0.251, 0.117)
Ti (0.702, 0.404, 0.566)
Ti (0.298, 0.596, 0.434)
Ti (0.298, 0.596, 0.066)
Ti (0.702, 0.404, 0.934)
Ti (0.126, 0.251, 0.383)
Ti (0.874, 0.749, 0.617)
Ti (0.258, 0.516, 0.750)
Ti (0.742, 0.484, 0.250)
C (0.224, 0.448, 0.250)
Ti (0.874, 0.749, 0.883)
Sn (0.067, 0.134, 0.625)
Sn (0.933, 0.866, 0.375)
Sn (0.933, 0.866, 0.125)
Sn (0.067, 0.134, 0.875)

***

(3)
Density functional theory data (PBE) for a geometry-optimized Tb2TlP2N6 structure.

Space group ... No. 12
D(E_F) ... 4.942 states/eV/cell
E ... -7.1616 eV/atom
Magnetization ... 0.05 μB per atom

a = 6.326 Å, b = 6.463 Å, c = 6.453 Å
α = 116.70°, β = 89.97°, γ = 60.73°
Fractional positions:
Tb (0.175, 0.649, 0.197)
N (0.007, 0.399, 0.165)
Tb (0.825, 0.351, 0.803)
N (0.932, 0.135, 0.371)
N (0.406, 0.601, 0.835)
N (0.594, 0.399, 0.165)
P (0.845, 0.310, 0.245)
Tl (0.500, 0.000, 0.500)
P (0.155, 0.690, 0.755)
N (0.993, 0.601, 0.835)
N (0.068, 0.865, 0.629)

***

(4)
Density functional theory data (PBE) for a geometry-optimized CaEu2Ge structure.

Space group ... No. 123
D(E_F) ... 3.152 states/eV/cell
E ... -7.1044 eV/atom
Magnetization ... 3.61 μB per atom

a = 3.815 Å, b = 3.815 Å, c = 9.360 Å
α = 90.00°, β = 90.00°, γ = 90.00°
Fractional positions:
Ge (0.500, 0.500, 0.000)
Eu (0.000, 0.000, 0.820)
Eu (0.000, 0.000, 0.180)
Ca (0.500, 0.500, 0.500)

***

(5)
Density functional theory data (PBE) for a geometry-optimized LiCa2P structure.

Space group ... No. 123
D(E_F) ... 1.618 states/eV/cell
E ... -3.3829 eV/atom
Magnetization ... 0.00 μB per atom

a = 3.728 Å, b = 3.724 Å, c = 8.137 Å
α = 62.79°, β = 90.00°, γ = 90.00°
Fractional positions:
Ca (0.000, 0.453, 0.548)
Li (0.500, 0.250, 0.250)
Ca (0.000, 0.047, 0.952)
P (0.500, 0.750, 0.750)

***

(6)
Density functional theory data (PBE) for a geometry-optimized RbTbPdCl6 structure.

Space group ... No. 149
E ... -4.0005 eV/atom
Magnetization ... 0.22 μB per atom

a = 6.762 Å, b = 6.762 Å, c = 7.457 Å
α = 90.01°, β = 90.00°, γ = 60.00°
Fractional positions:
Pd (0.667, 0.667, 0.500)
Rb (0.000, 0.000, 0.000)
Cl (0.637, 0.988, 0.299)
Cl (0.637, 0.376, 0.701)
Tb (0.333, 0.333, 0.500)
Cl (0.376, 0.637, 0.299)
Cl (0.375, 0.988, 0.701)
Cl (0.988, 0.637, 0.701)
Cl (0.988, 0.376, 0.299)

***

(7)
Density functional theory data (PBE) for a geometry-optimized ScZnCo2 structure.

Space group ... No. 44
D(E_F) ... 3.680 states/eV/cell
E ... -5.5978 eV/atom
Magnetization ... 0.41 μB per atom

a = 5.007 Å, b = 5.007 Å, c = 4.083 Å
α = 65.97°, β = 65.97°, γ = 36.51°
Fractional positions:
Co (0.990, 0.990, 0.010)
Sc (0.508, 0.508, 0.492)
Zn (0.734, 0.734, 0.766)
Co (0.267, 0.267, 0.233)

***

(8)
Density functional theory data (PBE) for a geometry-optimized YCd2Cl structure.

Space group ... No. 71
D(E_F) ... 2.365 states/eV/cell
E ... -3.1322 eV/atom
Magnetization ... 0.00 μB per atom

a = 7.175 Å, b = 7.175 Å, c = 7.175 Å
α = 153.29°, β = 142.16°, γ = 46.92°
Fractional positions:
Cd (0.033, 0.033, 0.000)
Cd (0.467, 0.467, 0.000)
Cl (0.750, 0.250, 0.500)
Y (0.250, 0.750, 0.500)